Here is an optimized crystal structure of Li2NiOs from Alexandria. Energies are from PBE-GGA.

Summary:
DFT formation energy (kcal/mol of atoms): 5.917
Total magnetic moment (μB per cell): 0.4
Polymorph energy (0 for the lowest one) (eV per atom): 0.208

Cell: 5.100 5.100 5.100 Å, 150.86 128.30 60.44°
Each line ends with the local moment (μB).
Atoms (fractional coordinates):
1 Li 0.007 0.007 0.000  0.00
2 Os 0.736 0.236 0.500  0.22
3 Li 0.259 0.759 0.500  -0.01
4 Ni 0.498 0.498 0.000  0.22